(1)
# Tb8Tl2Co

A relaxed Tb8Tl2Co crystal (PBE, Alexandria).

The value obtained for the energy of formation is -0.15 eV/atom. As for the density of states at the Fermi level: 25.79 states/eV per cell. The polymorph energy (0 for the lowest one) comes out at 0.000 eV/atom. For the total magnetic moment, the calculation gives 0.00 μB/f.u. The total DFT energy (no corrections) comes out at -4.597 eV/atom.

The structure belongs to space group Cm (No. 8); the cell edges are 8.788, 15.737 and 5.931 Å and the angles 90.00°, 130.43° and 90.00°. The distinct sites, in fractional coordinates, are Tb at (0.000, 0.000, 0.000), Tb at (0.000, 0.500, 0.335), Tb at (0.106, 0.110, 0.592), Tb at (0.107, 0.387, 0.972), Tb at (0.319, 0.197, 0.267), Tl at (0.322, 0.304, 0.740) and Co at (0.335, 0.000, 0.572).

(2)
# Tb12TlCo5

A relaxed Tb12TlCo5 crystal (PBE, Alexandria).

The value obtained for the energy of formation is -0.22 eV/atom. As for the density of states at the Fermi level: 28.60 states/eV per cell. For the total magnetic moment, the calculation gives 0.00 μB/f.u. The total DFT energy (no corrections) comes out at -5.408 eV/atom.

The structure belongs to space group Immm (No. 71); the cell edges are 9.471, 9.503 and 9.854 Å and the angles 90.00°, 90.00° and 90.00°. The distinct sites, in fractional coordinates, are Tb at (0.000, 0.192, 0.206), Tb at (0.195, 0.500, 0.186), Tb at (0.206, 0.315, 0.500), Tl at (0.000, 0.000, 0.500), Co at (0.000, 0.000, 0.000), Co at (0.000, 0.379, 0.000) and Co at (0.000, 0.500, 0.388).

(3)
# Tb8Tl2Co

A relaxed Tb8Tl2Co crystal (PBE, Alexandria).

The value obtained for the energy of formation is -0.14 eV/atom. As for the density of states at the Fermi level: 20.98 states/eV per cell. The polymorph energy (0 for the lowest one) comes out at 0.013 eV/atom. For the total magnetic moment, the calculation gives 0.00 μB/f.u. The total DFT energy (no corrections) comes out at -4.584 eV/atom.

The structure belongs to space group C2/m (No. 12); the cell edges are 18.242, 5.312 and 6.738 Å and the angles 90.00°, 108.80° and 90.00°. The distinct sites, in fractional coordinates, are Tb at (0.016, 0.000, 0.239), Tb at (0.089, 0.500, 0.752), Tb at (0.146, 0.500, 0.312), Tb at (0.206, 0.000, 0.096), Tl at (0.171, 0.000, 0.613) and Co at (0.000, 0.500, 0.000).

(4)
# Tb5TlCo2

A relaxed Tb5TlCo2 crystal (PBE, Alexandria).

The value obtained for the energy of formation is -0.23 eV/atom. As for the density of states at the Fermi level: 32.68 states/eV per cell. For the total magnetic moment, the calculation gives 0.00 μB/f.u. The total DFT energy (no corrections) comes out at -5.192 eV/atom.

The structure belongs to space group I4/mcm (No. 140); the cell edges are 7.634, 7.634 and 13.649 Å and the angles 90.00°, 90.00° and 90.00°. The distinct sites, in fractional coordinates, are Tb at (0.000, 0.000, 0.000), Tb at (0.162, 0.338, 0.130), Tl at (0.000, 0.000, 0.250) and Co at (0.134, 0.366, 0.500).

(5)
# Tb12Tl5Co2

A relaxed Tb12Tl5Co2 crystal (PBE, Alexandria).

The value obtained for the energy of formation is -0.08 eV/atom. As for the density of states at the Fermi level: 32.60 states/eV per cell. For the total magnetic moment, the calculation gives 0.00 μB/f.u. The total DFT energy (no corrections) comes out at -4.372 eV/atom.

The structure belongs to space group C2/m (No. 12); the cell edges are 16.805, 7.653 and 9.773 Å and the angles 90.00°, 106.52° and 90.00°. The distinct sites, in fractional coordinates, are Tb at (0.001, 0.000, 0.273), Tb at (0.004, 0.500, 0.326), Tb at (0.152, 0.253, 0.075), Tb at (0.157, 0.234, 0.582), Tl at (0.000, 0.500, 0.000), Tl at (0.194, 0.000, 0.860), Tl at (0.195, 0.000, 0.338) and Co at (0.000, 0.210, 0.500).

(6)
# Tb5Tl2Co2

A relaxed Tb5Tl2Co2 crystal (PBE, Alexandria).

The value obtained for the energy of formation is -0.24 eV/atom. As for the density of states at the Fermi level: 26.00 states/eV per cell. For the total magnetic moment, the calculation gives 0.00 μB/f.u. The total DFT energy (no corrections) comes out at -4.916 eV/atom.

The structure belongs to space group Cmce (No. 64); the cell edges are 16.658, 7.407 and 7.362 Å and the angles 90.00°, 90.00° and 90.00°. The distinct sites, in fractional coordinates, are Tb at (0.000, 0.000, 0.000), Tb at (0.115, 0.181, 0.324), Tl at (0.226, 0.000, 0.000) and Co at (0.000, 0.112, 0.610).